1.
Here is an optimized crystal structure of Tm2Al8Ga from the Alexandria database. Energies are from PBE-GGA.

Unit cell a=4.2574 b=4.2574 c=11.6129 alpha=90.00 beta=90.00 gamma=90.00
With the nearest neighbours (Å) after each atom.
Fractional coordinates of all 11 atoms:
Tm1 0.0000 0.0000 0.3193  12 Al 2.99-3.02
Tm2 0.0000 0.0000 0.6807  12 Al 2.99-3.02
Al1 0.5000 0.5000 0.6857  8 Al 2.98-3.03, 4 Tm 3.01
Al2 0.5000 0.0000 0.8657  2 Ga 2.64
Al3 0.0000 0.5000 0.1343  2 Ga 2.64
Al4 0.5000 0.0000 0.5000  4 Tm 2.99, 8 Al 3.01-3.03
Al5 0.0000 0.5000 0.8657  2 Ga 2.64
Al6 0.5000 0.0000 0.1343  2 Ga 2.64
Al7 0.5000 0.5000 0.3143  8 Al 2.98-3.03, 4 Tm 3.01
Al8 0.0000 0.5000 0.5000  4 Tm 2.99, 8 Al 3.01-3.03
Ga1 0.0000 0.0000 0.0000  8 Al 2.64

Properties
As for the space group: P4/mmm. For the density of states at the Fermi level, the calculation gives 0.44 states/eV/atom. As for the volume: 210 Å³ per cell. Its uncorrected energy is -4.011 eV/atom. The value obtained for the density is 4.92 g cm⁻³.


2.
Here is an optimized crystal structure of Na2CaSnF8 from the Alexandria database. Energies are from PBE-GGA.

Unit cell a=4.8629 b=5.3609 c=7.0741 alpha=90.00 beta=90.00 gamma=91.53
With the nearest neighbours (Å) after each atom.
Fractional coordinates of all 12 atoms:
F1 0.6878 0.7105 0.5000  1 Ca 2.14, 2 Na 2.24
F2 0.8143 0.1780 0.7857  1 Sn 2.02
F3 0.2888 0.2706 0.0000  1 Sn 1.99
F4 0.3122 0.2895 0.5000  1 Ca 2.14, 2 Na 2.24
F5 0.1857 0.8220 0.7856  1 Sn 2.02
F6 0.7112 0.7294 0.0000  1 Sn 1.99
F7 0.1857 0.8220 0.2143  1 Sn 2.02
F8 0.8143 0.1780 0.2144  1 Sn 2.02
Sn1 0.0000 0.0000 0.0000  6 F 1.99-2.02
Na1 0.5000 0.5000 0.2574  6 F 2.24-2.41
Na2 0.5000 0.5000 0.7426  6 F 2.24-2.41
Ca1 0.0000 0.0000 0.5000  2 F 2.14

Properties
As for the space group: P2/m. For the density of states at the Fermi level, the calculation gives 0.00 states/eV/atom. As for the volume: 184 Å³ per cell. The value obtained for the density is 3.21 g cm⁻³. For the formation energy without anion corrections, the calculation gives -2.9485 eV per atom.


3.
Here is an optimized crystal structure of SrPm2Zr from the Alexandria database. Energies are from PBE-GGA.

Unit cell a=3.6100 b=3.6100 c=10.5121 alpha=90.00 beta=90.00 gamma=90.00
With the nearest neighbours (Å) after each atom.
Fractional coordinates of all 4 atoms:
Zr1 0.5000 0.5000 0.0000  8 Pm 3.36, 4 Zr 3.61
Pm1 0.0000 0.0000 0.7924  4 Zr 3.36, 4 Pm 3.61
Pm2 0.0000 0.0000 0.2076  4 Zr 3.36, 4 Pm 3.61
Sr1 0.5000 0.5000 0.5000  4 Sr 3.61, 8 Pm 4.00

Properties
As for the space group: P4/mmm. For the density of states at the Fermi level, the calculation gives 1.33 states/eV/atom. As for the volume: 137 Å³ per cell. The energy above the lowest structure with this stoichiometry comes out at 0 meV per atom. The value obtained for the density is 5.68 g cm⁻³.